1.
Here is a relaxed structure of ScNi3Pt from Alexandria via LeMat-Bulk. Energies are from PBE.

Structure (POSCAR):
```
ScNi3Pt
1.0
-1.4605 0.6845 4.2742
-3.3453 -3.0412 -0.6561
2.7470 -3.3396 1.4736
Sc Ni Pt
1 3 1
direct
0.5000 0.5000 0.5000
0.0000 0.5000 0.0000
0.0000 0.0000 0.5000
0.5000 0.0000 0.0000
0.0000 0.0000 0.0000
```

Space group: Pm-3m (221)
E_form in eV per atom: 0.634


2.
Here is a relaxed structure of La2BeNi2 from Alexandria via LeMat-Bulk. Energies are from PBE.

Structure (POSCAR):
```
La2BeNi2
1.0
3.5188 0.0000 0.0000
0.0000 3.5188 0.0000
1.7594 1.7594 8.3913
Ni Be La
2 1 2
direct
0.7500 0.2500 0.5000
0.2500 0.7500 0.5000
0.0000 0.0000 0.0000
0.3879 0.3879 0.2243
0.6121 0.6121 0.7757
```

Space group: I4/mmm (139)
E_form in eV per atom: 0.103


3.
Here is a relaxed structure of YRu2Au from Alexandria via LeMat-Bulk. Energies are from PBE.

Structure (POSCAR):
```
YRu2Au
1.0
-3.4025 -1.4775 1.8067
2.1576 -3.2090 1.4390
1.4752 2.6808 9.6819
Y Ru Au
2 4 2
direct
0.5000 0.5000 0.0000
0.2500 0.7500 0.5000
0.7239 0.1250 0.2500
0.0261 0.6250 0.2500
0.3750 0.2761 0.7500
0.8750 0.9739 0.7500
0.0000 0.0000 0.0000
0.7500 0.2500 0.5000
```

Space group: I-42d (122)
E_form in eV per atom: 0.217


4.
Here is a relaxed structure of Ac3Lu from Alexandria via LeMat-Bulk. Energies are from PBE.

Structure (POSCAR):
```
Ac3Lu
1.0
6.1637 0.0000 0.0000
3.0819 5.3379 0.0000
3.0819 1.7793 5.0327
Ac Lu
3 1
direct
0.0000 0.0000 0.0000
0.7500 0.7500 0.7500
0.2500 0.2500 0.2500
0.5000 0.5000 0.5000
```

Space group: Fm-3m (225)
E_form in eV per atom: 0.163


5.
Here is a relaxed structure of FeRhSe from Alexandria via LeMat-Bulk. Energies are from PBE.

Structure (POSCAR):
```
FeRhSe
1.0
-1.3515 2.4446 -1.0725
-1.6018 -2.4570 0.5919
-0.8857 1.8769 5.3941
Fe Rh Se
1 1 1
direct
0.0000 0.0000 0.9922
0.6667 0.3333 0.3244
0.3333 0.6667 0.6835
```

Space group: P3m1 (156)
ΔE_f (raw) in meV per atom: 159


6.
Here is a relaxed structure of Ac3Ag2Sn7 from Alexandria via LeMat-Bulk. Energies are from PBE.

Structure (POSCAR):
```
Ac3Ag2Sn7
1.0
-0.7126 -4.3478 -1.8055
3.2051 0.9851 -3.6373
9.5039 -5.7472 10.0890
Ac Ag Sn
3 2 7
direct
0.5000 0.5000 0.0000
0.0000 0.1855 0.3644
0.0000 0.8145 0.6356
0.5000 0.6089 0.2681
0.5000 0.3911 0.7319
0.5000 0.7263 0.4501
0.5000 0.2737 0.5499
0.0000 0.6351 0.1695
0.0000 0.0000 0.0000
0.0000 0.3649 0.8305
0.5000 0.9238 0.8291
0.5000 0.0762 0.1709
```

Space group: P2/m (10)
E_form in eV per atom: -0.466


7.
Here is a relaxed structure of Rb5I2OF from Alexandria via LeMat-Bulk. Energies are from PBE.

Structure (POSCAR):
```
Rb5I2OF
1.0
5.4008 0.0000 0.0000
0.0000 7.7922 0.0000
-2.7004 -3.8961 8.7795
Rb I O F
5 2 1 1
direct
0.6101 0.8595 0.2202
0.3899 0.1405 0.7798
0.3899 0.6393 0.7798
0.6101 0.3607 0.2202
0.0000 0.0000 0.0000
0.2081 0.2081 0.4162
0.7919 0.7919 0.5838
0.5000 0.0000 0.0000
0.0000 0.5000 0.0000
```

Space group: Immm (71)
ΔE_f (raw) in meV per atom: -1442


8.
Here is a relaxed structure of NaMnAuSe2 from Alexandria via LeMat-Bulk. Energies are from PBE.

Structure (POSCAR):
```
NaMnAuSe2
1.0
-4.9774 -0.4013 1.5957
-1.9988 -0.6166 -6.3900
1.0488 -6.7534 1.5729
Na Mn Au Se
2 2 2 4
direct
0.1250 0.5000 0.7500
0.8750 0.5000 0.2500
0.4915 0.0000 0.2500
0.5085 0.0000 0.7500
0.0000 0.0000 0.0000
0.0000 0.0000 0.5000
0.6693 0.7365 0.9628
0.6693 0.2635 0.5372
0.3307 0.7365 0.4628
0.3307 0.2635 0.0372
```

Space group: P2/c (13)
ΔE_f (raw) in meV per atom: -535


no.,magnetic moment (μB per cell),DFT total energy (eV/f.u.)
1,1.91,-26.54
2,0.00,-24.63
3,0.00,-27.43
4,0.00,-16.19
5,2.95,-18.82
6,0.00,-51.65
7,0.00,-27.74
8,9.98,-23.41